(1)
## Co2ReHg (PBE)

Data for an optimized crystal structure of Co2ReHg.

Structure (CIF):
```
data_Co2ReHg
_chemical_formula_sum 'Co4 Re2 Hg2'
_space_group_name_H-M_alt 'I -4 m 2'
_space_group_IT_number 119
_space_group_name_Hall 'I -4 -2'
_cell_length_a 3.686
_cell_length_b 3.686
_cell_length_c 8.176
_cell_angle_alpha 90.00
_cell_angle_beta 90.00
_cell_angle_gamma 90.00
loop_
_atom_site_label
_atom_site_fract_x
_atom_site_fract_y
_atom_site_fract_z
Co1 0.000 0.000 0.000
Co2 0.000 0.500 0.250
Re1 0.000 0.000 0.500
Hg1 0.000 0.500 0.750
```

Output
ρ	15.09	g cm⁻³
D(E_F)	7.5	states/eV per cell
ΔH_f (0 K)	652.5	meV per atom
crystal system	tetragonal


(2)
## TeMoCl2 (PBE)

Data for an optimized crystal structure of TeMoCl2.

Structure (CIF):
```
data_TeMoCl2
_chemical_formula_sum 'Te2 Mo2 Cl4'
_space_group_name_H-M_alt 'C 1 2/m 1'
_space_group_IT_number 12
_cell_length_a 14.581
_cell_length_b 3.124
_cell_length_c 5.055
_cell_angle_alpha 90.00
_cell_angle_beta 110.22
_cell_angle_gamma 90.00
loop_
_space_group_symop_operation_xyz
'x,y,z'
'-x,-y,-z'
'-x,y,-z'
'x,-y,z'
'x+1/2,y+1/2,z'
'-x+1/2,-y+1/2,-z'
'-x+1/2,y+1/2,-z'
'x+1/2,-y+1/2,z'
loop_
_atom_site_label
_atom_site_fract_x
_atom_site_fract_y
_atom_site_fract_z
Te1 0.000 0.000 0.000
Mo1 0.000 0.500 0.500
Cl1 0.143 0.000 0.643
```

Output
ρ	4.53	g cm⁻³
D(E_F)	6.3	states/eV per cell
uncorrected formation energy	-0.171	eV/atom
crystal system	monoclinic


(3)
## Ca5AgAu2 (PBE)

Data for an optimized crystal structure of Ca5AgAu2.

Structure (CIF):
```
data_Ca5AgAu2
_chemical_formula_sum 'Ca20 Ag4 Au8'
_space_group_name_H-M_alt 'I 4/m c m'
_space_group_IT_number 140
_space_group_name_Hall '-I 4 2c'
_cell_length_a 7.969
_cell_length_b 7.969
_cell_length_c 14.564
_cell_angle_alpha 90.00
_cell_angle_beta 90.00
_cell_angle_gamma 90.00
loop_
_atom_site_label
_atom_site_fract_x
_atom_site_fract_y
_atom_site_fract_z
Ca1 0.000 0.000 0.000
Ca2 0.166 0.334 0.142
Ag1 0.000 0.000 0.250
Au1 0.132 0.368 0.500
```

Output
ρ	5.04	g cm⁻³
D(E_F)	22.6	states/eV per cell
ΔH_f (0 K)	-558.9	meV per atom
crystal system	tetragonal


(4)
## Pm3PrRu (PBE)

Data for an optimized crystal structure of Pm3PrRu.

Structure (CIF):
```
data_Pm3PrRu
_chemical_formula_sum 'Pm6 Pr2 Ru2'
_space_group_name_H-M_alt 'P m n 21'
_space_group_IT_number 31
_cell_length_a 7.811
_cell_length_b 6.590
_cell_length_c 6.416
_cell_angle_alpha 90.00
_cell_angle_beta 90.00
_cell_angle_gamma 90.00
loop_
_space_group_symop_operation_xyz
'x,y,z'
'-x+1/2,-y,z+1/2'
'-x,y,z'
'x+1/2,-y,z+1/2'
loop_
_atom_site_label
_atom_site_fract_x
_atom_site_fract_y
_atom_site_fract_z
Pm1 0.000 0.159 0.000
Pm2 0.250 0.323 0.505
Pr1 0.000 0.845 0.511
Ru1 0.000 0.498 0.254
```

Output
ρ	6.81	g cm⁻³
D(E_F)	12.4	states/eV per cell
ΔH_f (0 K)	-76.1	meV per atom
crystal system	orthorhombic